Computed, not measured: Ba2CdOs after structural relaxation at the GGA-PBE level of DFT.

The structure belongs to space group F-43m (No. 216); the cell edges are 7.613, 7.613 and 7.613 Å and the angles 90.00°, 90.00° and 90.00°. The distinct sites, in fractional coordinates, are Ba at (0.000, 0.000, 0.000), Ba at (0.250, 0.250, 0.250), Cd at (0.250, 0.250, 0.750) and Os at (0.000, 0.000, 0.500).

The calculation puts the theoretical density at 8.69 Mg/m³. The energy comes out at -53.39 eV/cell. The value obtained for the total magnetization is 0.0 Bohr magnetons per cell.

***

Computed, not measured: RbTbCu after structural relaxation at the GGA-PBE level of DFT.

The structure belongs to space group F-43m (No. 216); the cell edges are 7.361, 7.361 and 7.361 Å and the angles 90.00°, 90.00° and 90.00°. The distinct sites, in fractional coordinates, are Rb at (0.000, 0.000, 0.000), Tb at (0.000, 0.000, 0.500) and Cu at (0.250, 0.250, 0.250).

The calculation puts the theoretical density at 5.13 Mg/m³. The energy comes out at -28.75 eV/cell. The value obtained for the total magnetization is 0.1 Bohr magnetons per cell.

***

Computed, not measured: Ba2MgGe4Ir4 after structural relaxation at the GGA-PBE level of DFT.

The structure belongs to space group Cmcm (No. 63); the cell edges are 11.215, 7.185 and 11.689 Å and the angles 90.00°, 90.00° and 90.00°. The distinct sites, in fractional coordinates, are Ba at (0.204, 0.000, 0.000), Mg at (0.000, 0.019, 0.250), Ge at (0.000, 0.333, 0.077), Ge at (0.185, 0.292, 0.750), Ir at (0.000, 0.321, 0.629) and Ir at (0.127, 0.368, 0.250).

The calculation puts the theoretical density at 9.58 Mg/m³. The energy comes out at -263.53 eV/cell. The value obtained for the total magnetization is 0.0 Bohr magnetons per cell.

***

Computed, not measured: TaSiNO after structural relaxation at the GGA-PBE level of DFT.

The structure belongs to space group P4/nmm (No. 129, origin choice 2); the cell edges are 3.916, 3.916 and 6.231 Å and the angles 90.00°, 90.00° and 90.00°. The distinct sites, in fractional coordinates, are Ta at (0.250, 0.750, 0.000), Si at (0.250, 0.250, 0.385), N at (0.250, 0.250, 0.883) and O at (0.250, 0.750, 0.500).

The calculation puts the theoretical density at 8.31 Mg/m³. The energy comes out at -65.25 eV/cell. The energy above the most stable polymorph in this dataset is 2.33 eV per formula unit. The value obtained for the total magnetization is 0.0 Bohr magnetons per cell.

***

Computed, not measured: LiMgCuBi after structural relaxation at the GGA-PBE level of DFT.

The structure belongs to space group F-43m (No. 216); the cell edges are 6.721, 6.721 and 6.721 Å and the angles 90.00°, 90.00° and 90.00°. The distinct sites, in fractional coordinates, are Li at (0.000, 0.000, 0.000), Mg at (0.250, 0.250, 0.250), Cu at (0.000, 0.000, 0.500) and Bi at (0.250, 0.250, 0.750).

The calculation puts the theoretical density at 6.64 Mg/m³. The energy comes out at -46.37 eV/cell. The energy above the most stable polymorph in this dataset is 0.02 eV per formula unit.

***

Computed, not measured: ScGaPt2 after structural relaxation at the GGA-PBE level of DFT.

The structure belongs to space group Pnma (No. 62); the cell edges are 6.850, 7.204 and 5.563 Å and the angles 90.00°, 90.00° and 90.00°. The distinct sites, in fractional coordinates, are Sc at (0.023, 0.250, 0.153), Ga at (0.108, 0.750, 0.359) and Pt at (0.202, 0.049, 0.572).

The calculation puts the theoretical density at 12.22 Mg/m³. The energy comes out at -101.39 eV/cell. The value obtained for the total magnetization is 0.0 Bohr magnetons per cell.

***

Computed, not measured: PaNbTe after structural relaxation at the GGA-PBE level of DFT.

The structure belongs to space group F-43m (No. 216); the cell edges are 6.745, 6.745 and 6.745 Å and the angles 90.00°, 90.00° and 90.00°. The distinct sites, in fractional coordinates, are Pa at (0.000, 0.000, 0.000), Nb at (0.250, 0.250, 0.250) and Te at (0.000, 0.000, 0.500).

The calculation puts the theoretical density at 9.77 Mg/m³. The energy comes out at -88.33 eV/cell. The energy above the most stable polymorph in this dataset is 0.00 eV per formula unit. The value obtained for the total magnetization is 2.3 Bohr magnetons per cell.

***

Computed, not measured: B4MoPt after structural relaxation at the GGA-PBE level of DFT.

The structure belongs to space group Immm (No. 71); the cell edges are 3.064, 5.030 and 7.299 Å and the angles 90.00°, 90.00° and 90.00°. The distinct sites, in fractional coordinates, are B at (0.000, 0.180, 0.230), Mo at (0.000, 0.500, 0.500) and Pt at (0.000, 0.500, 0.000).

The calculation puts the theoretical density at 9.87 Mg/m³. The energy comes out at -85.40 eV/cell. The energy above the most stable polymorph in this dataset is 0.33 eV per formula unit. The value obtained for the total magnetization is 0.0 Bohr magnetons per cell.

***

Computed, not measured: RbTcSeS2 after structural relaxation at the GGA-PBE level of DFT.

The structure belongs to space group P-1 (No. 2); the cell edges are 6.109, 7.509 and 7.609 Å and the angles 108.50°, 110.24° and 102.28°. The distinct sites, in fractional coordinates, are Rb at (0.242, 0.151, 0.351), Tc at (0.250, 0.503, 0.925), Se at (0.209, 0.603, 0.653), S at (0.191, 0.663, 0.207) and S at (0.338, 0.225, 0.891).

The calculation puts the theoretical density at 3.75 Mg/m³. The energy comes out at -52.76 eV/cell. The value obtained for the total magnetization is 0.0 Bohr magnetons per cell.

***

Computed, not measured: PrTlTe after structural relaxation at the GGA-PBE level of DFT.

The structure belongs to space group F-43m (No. 216); the cell edges are 7.490, 7.490 and 7.490 Å and the angles 90.00°, 90.00° and 90.00°. The distinct sites, in fractional coordinates, are Pr at (0.000, 0.000, 0.000), Tl at (0.000, 0.000, 0.500) and Te at (0.250, 0.250, 0.250).

The calculation puts the theoretical density at 7.48 Mg/m³. The energy comes out at -47.68 eV/cell. The energy above the most stable polymorph in this dataset is 0.00 eV per formula unit. The value obtained for the total magnetization is 0.0 Bohr magnetons per cell.

***

Computed, not measured: Sr2Ni3 after structural relaxation at the GGA-PBE level of DFT.

The structure belongs to space group P-3m1 (No. 164); the cell edges are 4.0968, 4.0968 and 8.6107 Å and the angles 90.00°, 90.00° and 120.00°. The distinct sites, in fractional coordinates, are Sr at (0.3333, 0.6667, 0.2176), Ni at (0.0000, 0.0000, 0.5000) and Ni at (0.3333, 0.6667, 0.5418).

The calculation puts the theoretical density at 4.66 Mg/m³. The energy comes out at -20.60 eV/cell. The value obtained for the total magnetization is 0.0 Bohr magnetons per cell.

***

Computed, not measured: KHfIn after structural relaxation at the GGA-PBE level of DFT.

The structure belongs to space group F-43m (No. 216); the cell edges are 7.390, 7.390 and 7.390 Å and the angles 90.00°, 90.00° and 90.00°. The distinct sites, in fractional coordinates, are K at (0.000, 0.000, 0.000), Hf at (0.000, 0.000, 0.500) and In at (0.250, 0.250, 0.750).

The calculation puts the theoretical density at 5.47 Mg/m³. The energy comes out at -43.71 eV/cell. The energy above the most stable polymorph in this dataset is 0.00 eV per formula unit. The value obtained for the total magnetization is 0.0 Bohr magnetons per cell.

***

Computed, not measured: SrSmBe after structural relaxation at the GGA-PBE level of DFT.

The structure belongs to space group F-43m (No. 216); the cell edges are 7.204, 7.204 and 7.204 Å and the angles 90.00°, 90.00° and 90.00°. The distinct sites, in fractional coordinates, are Sr at (0.000, 0.000, 0.000), Sm at (0.000, 0.000, 0.500) and Be at (0.250, 0.250, 0.750).

The calculation puts the theoretical density at 4.39 Mg/m³. The energy comes out at -34.65 eV/cell. The energy above the most stable polymorph in this dataset is 0.00 eV per formula unit. The value obtained for the total magnetization is 0.0 Bohr magnetons per cell.

***

Computed, not measured: DyYCSe after structural relaxation at the GGA-PBE level of DFT.

The structure belongs to space group P6_3mc (No. 186); the cell edges are 3.7621, 3.7621 and 13.2976 Å and the angles 90.00°, 90.00° and 120.00°. The distinct sites, in fractional coordinates, are Dy at (0.3333, 0.6667, 0.0000), Y at (0.3333, 0.6667, 0.7005), C at (0.0000, 0.0000, 0.1000) and Se at (0.3333, 0.6667, 0.3502).

The calculation puts the theoretical density at 6.98 Mg/m³. The energy comes out at -56.78 eV/cell. The value obtained for the total magnetization is 0.0 Bohr magnetons per cell.

***

Computed, not measured: KTe2PdAuS after structural relaxation at the GGA-PBE level of DFT.

The structure belongs to space group Cmcm (No. 63); the cell edges are 4.313, 12.563 and 11.942 Å and the angles 90.00°, 90.00° and 90.00°. The distinct sites, in fractional coordinates, are K at (0.000, 0.211, 0.250), Te at (0.000, 0.130, 0.528), Pd at (0.000, 0.500, 0.000), Au at (0.000, 0.077, 0.750) and S at (0.000, 0.490, 0.750).

The calculation puts the theoretical density at 6.46 Mg/m³. The energy comes out at -87.01 eV/cell.

***

Computed, not measured: YEr2In3Ir2Pd after structural relaxation at the GGA-PBE level of DFT.

The structure belongs to space group Amm2 (No. 38); the cell edges are 3.849, 13.241 and 7.557 Å and the angles 90.00°, 90.00° and 90.00°. The distinct sites, in fractional coordinates, are Y at (0.000, 0.000, 0.000), Er at (0.000, 0.205, 0.616), In at (0.500, 0.000, 0.672), In at (0.500, 0.130, 0.280), Ir at (0.500, 0.170, 0.909) and Pd at (0.000, 0.000, 0.413).

The calculation puts the theoretical density at 10.85 Mg/m³. The energy comes out at -106.98 eV/cell. The value obtained for the total magnetization is 0.0 Bohr magnetons per cell.